A relaxed PrYPt2 crystal, computed with PBE.

Energy relative to the elements (eV per atom): -1.031
E above lowest polymorph (kcal/mol of atoms): 3.380

Structure (POSCAR):
```
PrYPt2
1.0
-3.046 -2.757 0.256
-0.206 -3.097 -2.704
2.848 -5.904 3.413
Pr Y Pt
1 1 2
direct
0.670 0.670 0.990 Pr
0.497 0.497 0.508 Y
0.089 0.089 0.734 Pt
0.244 0.244 0.268 Pt
```